[1]
Here is a geometry-optimized K2IrW structure from the Alexandria database. Energies are from PBEsol. Values from VASP.

Values from the calculation:
Total moment in μB/atom: 0.172
Calculated formation energy in eV/atom: 0.7205

Structure (Quantum ESPRESSO input):
```
&SYSTEM
  ibrav = 0, nat = 4, ntyp = 3
/
ATOMIC_SPECIES
Ir 192.22 Ir.upf
K 39.10 K.upf
W 183.84 W.upf
ATOMIC_POSITIONS crystal
Ir 0.0000 0.5000 0.0000
K 0.6434 0.6419 0.2869
K 0.3566 0.3581 0.7131
W 0.5000 0.0000 0.0000
CELL_PARAMETERS angstrom
3.0120 0.0000 0.0000
0.0000 4.1048 -0.1053
-1.5060 -1.7562 10.1784
```

[2]
Here is a geometry-optimized Rh2W2C structure from the Alexandria database. Energies are from PBEsol. Values from VASP.

Values from the calculation:
Total moment in μB/atom: 0.000
Calculated formation energy in eV/atom: 0.2984

Structure (Quantum ESPRESSO input):
```
&SYSTEM
  ibrav = 0, nat = 5, ntyp = 3
/
ATOMIC_SPECIES
Rh 102.91 Rh.upf
W 183.84 W.upf
C 12.01 C.upf
ATOMIC_POSITIONS crystal
Rh 0.6221 0.6221 0.1338
Rh 0.3779 0.3779 0.8662
W 0.1239 0.1239 0.6282
W 0.8761 0.8761 0.3718
C 0.0000 0.0000 0.0000
CELL_PARAMETERS angstrom
-0.4156 1.0200 2.5900
-2.6022 0.6419 0.8588
-2.0914 -8.2541 4.4442
```

[3]
Here is a geometry-optimized AsIF2 structure from the Alexandria database. Energies are from PBEsol. Values from VASP.

Values from the calculation:
Total moment in μB/atom: 0.000
Formation energy from raw total energies in eV/f.u.: -3.43

Structure (Quantum ESPRESSO input):
```
&SYSTEM
  ibrav = 0, nat = 8, ntyp = 3
/
ATOMIC_SPECIES
I 126.90 I.upf
As 74.92 As.upf
F 19.00 F.upf
ATOMIC_POSITIONS crystal
I 0.0000 0.0000 0.0000
I 0.2500 0.7500 0.5000
As 0.5000 0.5000 0.0000
As 0.7500 0.2500 0.5000
F 0.6250 0.3750 0.7500
F 0.1250 0.3750 0.7500
F 0.6250 0.8750 0.2500
F 0.6250 0.3750 0.2500
CELL_PARAMETERS angstrom
4.6840 0.0000 0.0000
0.0000 4.6840 0.0000
-2.3420 -2.3420 6.9000
```

[4]
Here is a geometry-optimized LiVF4 structure from the Alexandria database. Energies are from PBEsol. Values from VASP.

Values from the calculation:
Total moment in μB/atom: 0.333
Formation energy from raw total energies in eV/f.u.: -17.32

Structure (Quantum ESPRESSO input):
```
&SYSTEM
  ibrav = 0, nat = 24, ntyp = 3
/
ATOMIC_SPECIES
Li 6.94 Li.upf
V 50.94 V.upf
F 19.00 F.upf
ATOMIC_POSITIONS crystal
Li 0.0000 0.7500 0.0530
Li 0.0000 0.2500 0.9470
Li 0.5000 0.7500 0.5530
Li 0.5000 0.2500 0.4470
V 0.0000 0.7500 0.3201
V 0.0000 0.2500 0.6799
V 0.5000 0.7500 0.8201
V 0.5000 0.2500 0.1799
F 0.7637 0.5736 0.1940
F 0.7637 0.0736 0.8060
F 0.7503 0.0827 0.0675
F 0.7503 0.5827 0.9325
F 0.7497 0.0827 0.5675
F 0.7497 0.5827 0.4325
F 0.7363 0.0736 0.3060
F 0.7363 0.5736 0.6940
F 0.2637 0.9264 0.6940
F 0.2637 0.4264 0.3060
F 0.2503 0.9173 0.4325
F 0.2503 0.4173 0.5675
F 0.2497 0.4173 0.0675
F 0.2497 0.9173 0.9325
F 0.2363 0.9264 0.1940
F 0.2363 0.4264 0.8060
CELL_PARAMETERS angstrom
-3.2774 1.2300 2.7865
-1.0141 -4.6221 0.8474
7.3983 -0.0258 8.7130
```

[5]
Here is a geometry-optimized K2CdCu structure from the Alexandria database. Energies are from PBEsol. Values from VASP.

Values from the calculation:
Total moment in μB/atom: 0.000
Calculated formation energy in eV/atom: 0.4560

Structure (Quantum ESPRESSO input):
```
&SYSTEM
  ibrav = 0, nat = 4, ntyp = 3
/
ATOMIC_SPECIES
Cd 112.41 Cd.upf
Cu 63.55 Cu.upf
K 39.10 K.upf
ATOMIC_POSITIONS crystal
Cd 0.5000 0.5000 0.5000
Cu 0.0000 0.0000 0.0000
K 0.2610 0.2610 0.2171
K 0.7390 0.7390 0.7829
CELL_PARAMETERS angstrom
-2.7387 -3.0543 0.4463
1.1883 -3.9228 -0.4771
1.6250 -2.8440 9.5853
```

[6]
Here is a geometry-optimized LaZr2Te structure from the Alexandria database. Energies are from PBEsol. Values from VASP.

Values from the calculation:
Total moment in μB/atom: 0.000
Formation energy from raw total energies in eV/f.u.: -0.44

Structure (Quantum ESPRESSO input):
```
&SYSTEM
  ibrav = 0, nat = 4, ntyp = 3
/
ATOMIC_SPECIES
La 138.91 La.upf
Te 127.60 Te.upf
Zr 91.22 Zr.upf
ATOMIC_POSITIONS crystal
La 0.5000 0.5000 0.5000
Te 0.2500 0.2500 0.2500
Zr 0.0000 0.0000 0.0000
Zr 0.7500 0.7500 0.7500
CELL_PARAMETERS angstrom
-2.3161 1.9179 4.2135
-4.9681 -1.1005 0.9498
-1.2517 -3.1395 3.9207
```

[7]
Here is a geometry-optimized CdIn3Hg structure from the Alexandria database. Energies are from PBEsol. Values from VASP.

Values from the calculation:
Total moment in μB/atom: 0.000
Calculated formation energy in eV/atom: 0.4017

Structure (Quantum ESPRESSO input):
```
&SYSTEM
  ibrav = 0, nat = 5, ntyp = 3
/
ATOMIC_SPECIES
Cd 112.41 Cd.upf
Hg 200.59 Hg.upf
In 114.82 In.upf
ATOMIC_POSITIONS crystal
Cd 0.5000 0.5000 0.5000
Hg 0.0000 0.0000 0.0000
In 0.0000 0.5000 0.0000
In 0.0000 0.0000 0.5000
In 0.5000 0.0000 0.0000
CELL_PARAMETERS angstrom
-1.8242 -3.8657 -3.3496
4.9145 -0.3387 -2.2857
1.4181 -3.7991 3.6121
```

[8]
Here is a geometry-optimized RbAlSi3O8 structure from the Alexandria database. Energies are from PBEsol. Values from VASP.

Values from the calculation:
Total moment in μB/atom: 0.000
Formation energy from raw total energies in eV/f.u.: -36.67

Structure (Quantum ESPRESSO input):
```
&SYSTEM
  ibrav = 0, nat = 26, ntyp = 4
/
ATOMIC_SPECIES
Rb 85.47 Rb.upf
Al 26.98 Al.upf
Si 28.09 Si.upf
O 16.00 O.upf
ATOMIC_POSITIONS crystal
Rb 0.8635 0.7139 0.6962
Rb 0.1365 0.3038 0.2861
Al 0.6555 0.4008 0.1632
Al 0.3445 0.8368 0.5992
Si 0.6549 0.1568 0.3976
Si 0.3451 0.6024 0.8432
Si 0.7727 0.1713 0.7948
Si 0.7791 0.7995 0.1829
Si 0.2209 0.8171 0.2005
Si 0.2273 0.2052 0.8287
O 0.7723 0.3197 0.9984
O 0.7750 0.0115 0.3184
O 0.2250 0.6816 0.9885
O 0.2277 0.0016 0.6803
O 0.0000 0.1564 0.8436
O 0.0000 0.8498 0.1502
O 0.6117 0.9491 0.6976
O 0.5964 0.7014 0.9645
O 0.4036 0.0355 0.2986
O 0.3883 0.3024 0.0509
O 0.7184 0.3360 0.3499
O 0.2816 0.6501 0.6640
O 0.7346 0.2564 0.6361
O 0.7525 0.6580 0.2810
O 0.2475 0.7190 0.3420
O 0.2654 0.3639 0.7436
CELL_PARAMETERS angstrom
-6.0519 -3.0678 2.4086
-0.8571 0.0077 -7.9273
5.7724 -4.9278 2.4439
```

[9]
Here is a geometry-optimized MgTe2Br structure from the Alexandria database. Energies are from PBEsol. Values from VASP.

Values from the calculation:
Total moment in μB/atom: 0.000
Formation energy from raw total energies in eV/f.u.: -1.13

Structure (Quantum ESPRESSO input):
```
&SYSTEM
  ibrav = 0, nat = 4, ntyp = 3
/
ATOMIC_SPECIES
Br 79.90 Br.upf
Mg 24.30 Mg.upf
Te 127.60 Te.upf
ATOMIC_POSITIONS crystal
Br 0.5000 0.0000 0.0000
Mg 0.5000 0.5000 0.5000
Te 0.0000 0.5000 0.0000
Te 0.0000 0.0000 0.5000
CELL_PARAMETERS angstrom
5.2831 -0.0215 -0.0372
-1.7425 4.9886 0.0272
-1.7425 -2.4738 4.3321
```

[10]
Here is a geometry-optimized K2CdRh structure from the Alexandria database. Energies are from PBEsol. Values from VASP.

Values from the calculation:
Total moment in μB/atom: 0.000
Calculated formation energy in eV/atom: 0.2217

Structure (Quantum ESPRESSO input):
```
&SYSTEM
  ibrav = 0, nat = 4, ntyp = 3
/
ATOMIC_SPECIES
Cd 112.41 Cd.upf
K 39.10 K.upf
Rh 102.91 Rh.upf
ATOMIC_POSITIONS crystal
Cd 0.5000 0.0000 0.0000
K 0.6423 0.6398 0.2847
K 0.3577 0.3602 0.7153
Rh 0.0000 0.5000 0.0000
CELL_PARAMETERS angstrom
-1.2711 -0.2375 3.0865
3.7954 -0.9807 1.4875
0.5824 9.7767 -0.8218
```

[11]
Here is a geometry-optimized RbTe2HI structure from the Alexandria database. Energies are from PBEsol. Values from VASP.

Values from the calculation:
Total moment in μB/atom: 1.006
Uncorrected energy in eV per atom: -1.627

Structure (Quantum ESPRESSO input):
```
&SYSTEM
  ibrav = 0, nat = 5, ntyp = 4
/
ATOMIC_SPECIES
I 126.90 I.upf
H 1.01 H.upf
Te 127.60 Te.upf
Rb 85.47 Rb.upf
ATOMIC_POSITIONS crystal
I 0.5000 0.0000 0.0000
H 0.5000 0.5000 0.5000
Te 0.0000 0.0000 0.5000
Te 0.0000 0.5000 0.0000
Rb 0.0000 0.0000 0.0000
CELL_PARAMETERS angstrom
-1.1438 -6.1706 2.4446
6.8471 -1.1723 0.2447
0.2013 2.5268 6.4723
```

[12]
Here is a geometry-optimized BaTaP2O structure from the Alexandria database. Energies are from PBEsol. Values from VASP.

Values from the calculation:
Total moment in μB/atom: 0.323
Formation energy from raw total energies in eV/f.u.: 7.08

Structure (Quantum ESPRESSO input):
```
&SYSTEM
  ibrav = 0, nat = 5, ntyp = 4
/
ATOMIC_SPECIES
P 30.97 P.upf
Ba 137.33 Ba.upf
O 16.00 O.upf
Ta 180.95 Ta.upf
ATOMIC_POSITIONS crystal
P 0.0000 0.0000 0.5000
P 0.0000 0.5000 0.0000
Ba 0.0000 0.0000 0.0000
O 0.5000 0.0000 0.0000
Ta 0.5000 0.5000 0.5000
CELL_PARAMETERS angstrom
4.1564 0.0000 0.0000
0.0000 5.3286 0.0000
0.0000 0.0000 5.3286
```

[13]
Here is a geometry-optimized BaSr2Ca structure from the Alexandria database. Energies are from PBEsol. Values from VASP.

Values from the calculation:
Total moment in μB/atom: 0.000
Calculated formation energy in eV/atom: 0.0163

Structure (Quantum ESPRESSO input):
```
&SYSTEM
  ibrav = 0, nat = 4, ntyp = 3
/
ATOMIC_SPECIES
Sr 87.62 Sr.upf
Ca 40.08 Ca.upf
Ba 137.33 Ba.upf
ATOMIC_POSITIONS crystal
Sr 0.5000 0.5000 0.5000
Sr 0.0000 0.0000 0.5000
Ca 0.5000 0.0000 0.0000
Ba 0.0000 0.5000 0.0000
CELL_PARAMETERS angstrom
-3.9195 -0.0690 -0.8753
-0.3252 -1.6330 7.4473
1.7007 7.2480 -1.9017
```